Record 1
First-principles (PBE) data for an optimized crystal structure of BaHgW2Cl, as listed in the Alexandria database.

abc: 4.5527 4.5527 5.9647
angles: 90.00 90.00 90.00
Space group P4/mmm (No. 123)
Asymmetric unit:
Ba 0.0000 0.0000 0.0000 x1
Hg 0.5000 0.5000 0.0000 x1
W 0.0000 0.5000 0.5000 x2
Cl 0.0000 0.0000 0.5000 x1

Calculated values
The total energy comes out at -23.47 eV per cell.

=====

Record 2
First-principles (PBE) data for an optimized crystal structure of ZnAgOs2, as listed in the Alexandria database.

abc: 2.7944 3.7939 5.7551
angles: 90.00 90.00 90.00
Space group Pmm2 (No. 25)
Asymmetric unit:
Zn 0.0000 0.0000 0.0000 x1
Ag 0.5000 0.5000 0.2279 x1
Os 0.0000 0.0000 0.5354 x1
Os 0.5000 0.5000 0.7221 x1

Calculated values
The total energy comes out at -25.44 eV per cell. Its calculated formation energy is 0.286 eV/atom.

=====

Record 3
First-principles (PBE) data for an optimized crystal structure of SrTcW2, as listed in the Alexandria database.

abc: 3.0817 5.2047 9.6450
angles: 90.00 90.00 90.00
Space group Imm2 (No. 44)
Asymmetric unit:
Sr 0.0000 0.0000 0.0000 x2
Tc 0.0000 0.5000 0.7732 x2
W 0.0000 0.0000 0.4854 x2
W 0.0000 0.5000 0.2148 x2

Calculated values
The total energy comes out at -67.58 eV per cell. The value obtained for the offset from the most stable computed form is 1.45 eV/f.u. Its calculated formation energy is 1.042 eV/atom.

=====

Record 4
First-principles (PBE) data for an optimized crystal structure of NbSe2F, as listed in the Alexandria database.

abc: 6.5751 5.4831 9.7722
angles: 90.00 90.00 90.00
Space group Pnna (No. 52)
Asymmetric unit:
Nb 0.2500 0.0000 0.0805 x4
Se 0.0753 0.2347 0.5865 x8
F 0.1788 0.2500 0.2500 x4

Calculated values
The total energy comes out at -95.67 eV per cell. The value obtained for the offset from the most stable computed form is 0.00 eV/f.u.